No. 1
VASP calculation (PBE) on a geometry-optimized Sb3TeSe6 structure.

abc: 11.9600 4.2897 12.6121
angles: 90.00 106.71 90.00
Space group P2_1/m (No. 11)
Symmetry-distinct sites (fractional):
Sb (0.0673, 0.2500, 0.3455)
Sb (0.3568, 0.7500, 0.4436)
Sb (0.4307, 0.2500, 0.8653)
Te (0.1496, 0.7500, 0.9502)
Se (0.0215, 0.2500, 0.8708)
Se (0.1258, 0.7500, 0.4865)
Se (0.2539, 0.7500, 0.7960)
Se (0.2581, 0.2500, 0.2833)
Se (0.3967, 0.2500, 0.0644)
Se (0.4281, 0.2500, 0.6035)

formation energy (no corrections): -145 meV per atom


No. 2
VASP calculation (PBE) on a geometry-optimized KNi3Rh structure.

abc: 4.6893 4.6893 4.6893
angles: 90.00 90.00 90.00
Space group Pm-3m (No. 221)
Symmetry-distinct sites (fractional):
K (0.0000, 0.0000, 0.0000)
Ni (0.0000, 0.5000, 0.5000)
Rh (0.5000, 0.5000, 0.5000)

calculated formation energy: 0.9054 eV/atom
excess energy over the best structure of this formula in the dataset: 0.0 kJ/mol of atoms


In Ha/atom, the raw total energy values for the records above are, in order, -0.139, -0.156.